(1)
# BaRuSe | the Alexandria database | PBE | relaxed
data_BaRuSe
_chemical_formula_sum 'Ba4 Ru4 Se4'
_space_group_name_H-M_alt 'F -4 3 m'
_space_group_IT_number 216
_space_group_name_Hall 'F -4 2 3'
_cell_length_a 7.4162
_cell_length_b 7.4162
_cell_length_c 7.4162
_cell_angle_alpha 90.00
_cell_angle_beta 90.00
_cell_angle_gamma 90.00
loop_
_atom_site_label
_atom_site_type_symbol
_atom_site_fract_x
_atom_site_fract_y
_atom_site_fract_z
Ba1 Ba 0.0000 0.0000 0.0000
Ru1 Ru 0.2500 0.2500 0.2500
Se1 Se 0.2500 0.2500 0.7500
# - Fermi-level density of states: 2.7186 states/eV per atom
# - Energy above the most stable polymorph in this dataset: 1203.7 meV/atom
# - Uncorrected energy: -50.13 eV per cell

(2)
# BaRuSe4 | the Alexandria database | PBE | relaxed
data_BaRuSe4
_chemical_formula_sum 'Ba4 Ru4 Se16'
_space_group_name_H-M_alt 'F -4 3 m'
_space_group_IT_number 216
_space_group_name_Hall 'F -4 2 3'
_cell_length_a 8.3471
_cell_length_b 8.3471
_cell_length_c 8.3471
_cell_angle_alpha 90.00
_cell_angle_beta 90.00
_cell_angle_gamma 90.00
loop_
_atom_site_label
_atom_site_type_symbol
_atom_site_fract_x
_atom_site_fract_y
_atom_site_fract_z
Ba1 Ba 0.0000 0.0000 0.0000
Ru1 Ru 0.2500 0.2500 0.7500
Se1 Se 0.1233 0.1233 0.3767
# - Fermi-level density of states: 0.8803 states/eV per atom
# - Uncorrected energy: -92.40 eV per cell

(3)
# BaRuSe2 | the Alexandria database | PBE | relaxed
data_BaRuSe2
_chemical_formula_sum 'Ba4 Ru4 Se8'
_space_group_name_H-M_alt 'I -4 2 d'
_space_group_IT_number 122
_space_group_name_Hall 'I -4 2bw'
_cell_length_a 6.4046
_cell_length_b 6.4046
_cell_length_c 12.3203
_cell_angle_alpha 90.00
_cell_angle_beta 90.00
_cell_angle_gamma 90.00
loop_
_atom_site_label
_atom_site_type_symbol
_atom_site_fract_x
_atom_site_fract_y
_atom_site_fract_z
Ba1 Ba 0.0000 0.0000 0.0000
Ru1 Ru 0.0000 0.0000 0.5000
Se1 Se 0.1455 0.2500 0.6250
# - Fermi-level density of states: 0.6828 states/eV per atom
# - Energy above the most stable polymorph in this dataset: 222.2 meV/atom
# - Uncorrected energy: -82.78 eV per cell

(4)
# BaRu4Se | the Alexandria database | PBE | relaxed
data_BaRu4Se
_chemical_formula_sum 'Ba4 Ru16 Se4'
_space_group_name_H-M_alt 'F -4 3 m'
_space_group_IT_number 216
_space_group_name_Hall 'F -4 2 3'
_cell_length_a 7.6864
_cell_length_b 7.6864
_cell_length_c 7.6864
_cell_angle_alpha 90.00
_cell_angle_beta 90.00
_cell_angle_gamma 90.00
loop_
_atom_site_label
_atom_site_type_symbol
_atom_site_fract_x
_atom_site_fract_y
_atom_site_fract_z
Ba1 Ba 0.0000 0.0000 0.0000
Ru1 Ru 0.1230 0.1230 0.6230
Se1 Se 0.2500 0.2500 0.2500
# - Fermi-level density of states: 1.3716 states/eV per atom
# - Uncorrected energy: -151.81 eV per cell